(1)
The following is a PBE calculation of CaCrTc2 after structural relaxation, from the Alexandria database. Values from VASP.

## Properties
formation enthalpy at 0 K	0.630	eV per atom
energy above the lowest structure with this stoichiometry	1.63	eV per formula unit
energy	-7.460	eV per atom
ρ	7.24	g/cm3

Geometry as Quantum ESPRESSO input:
```
&SYSTEM
  ibrav = 0, nat = 4, ntyp = 3
/
ATOMIC_SPECIES
Ca 40.08 Ca.upf
Cr 52.00 Cr.upf
Tc 98.00 Tc.upf
CELL_PARAMETERS angstrom
1.608 -2.268 0.000
1.608 2.268 0.000
0.000 0.000 9.063
ATOMIC_POSITIONS crystal
Ca 0.000 0.000 0.000
Cr 0.500 0.500 0.287
Tc 0.000 0.000 0.484
Tc 0.500 0.500 0.717
```

(2)
The following is a PBE calculation of La3PmHg after structural relaxation, from the Alexandria database. Values from VASP.

## Properties
formation enthalpy at 0 K	-0.187	eV per atom
energy	-4.154	eV per atom
ρ	7.56	g/cm3

Geometry as Quantum ESPRESSO input:
```
&SYSTEM
  ibrav = 0, nat = 10, ntyp = 3
/
ATOMIC_SPECIES
La 138.91 La.upf
Pm 145.00 Pm.upf
Hg 200.59 Hg.upf
CELL_PARAMETERS angstrom
3.838 0.000 0.000
0.005 8.903 0.000
1.918 2.220 9.801
ATOMIC_POSITIONS crystal
La 0.003 0.290 0.492
La 0.188 0.375 0.125
La 0.203 0.837 0.093
La 0.797 0.163 0.907
La 0.812 0.625 0.875
La 0.997 0.710 0.508
Pm 0.406 0.965 0.685
Pm 0.594 0.035 0.315
Hg 0.393 0.421 0.714
Hg 0.607 0.579 0.286
```

(3)
The following is a PBE calculation of La2Be3ZnNi12 after structural relaxation, from the Alexandria database. Values from VASP.

## Properties
formation enthalpy at 0 K	0.188	eV per atom
energy	-4.906	eV per atom
ρ	6.82	g/cm3

Geometry as Quantum ESPRESSO input:
```
&SYSTEM
  ibrav = 0, nat = 18, ntyp = 4
/
ATOMIC_SPECIES
La 138.91 La.upf
Be 9.01 Be.upf
Zn 65.41 Zn.upf
Ni 58.69 Ni.upf
CELL_PARAMETERS angstrom
3.697 2.135 5.524
-3.697 2.135 5.524
0.000 -4.269 5.524
ATOMIC_POSITIONS crystal
La 0.111 0.111 0.111
La 0.889 0.889 0.889
Be 0.000 0.500 0.500
Be 0.500 0.000 0.500
Be 0.500 0.500 0.000
Zn 0.500 0.500 0.500
Ni 0.112 0.632 0.632
Ni 0.154 0.154 0.593
Ni 0.154 0.593 0.154
Ni 0.368 0.368 0.888
Ni 0.368 0.888 0.368
Ni 0.407 0.846 0.846
Ni 0.593 0.154 0.154
Ni 0.632 0.112 0.632
Ni 0.632 0.632 0.112
Ni 0.846 0.407 0.846
Ni 0.846 0.846 0.407
Ni 0.888 0.368 0.368
```

(4)
The following is a PBE calculation of Tl5Se3 after structural relaxation, from the Alexandria database. Values from VASP.

## Properties
energy above the lowest structure with this stoichiometry	0.34	eV per formula unit
energy	-3.079	eV per atom
ΔE_f (raw)	-0.2938	eV/atom
ρ	8.66	g/cm3

Geometry as Quantum ESPRESSO input:
```
&SYSTEM
  ibrav = 0, nat = 16, ntyp = 2
/
ATOMIC_SPECIES
Tl 204.38 Tl.upf
Se 78.96 Se.upf
CELL_PARAMETERS angstrom
-6.223 6.223 3.117
6.223 -6.223 3.117
6.223 6.223 -3.117
ATOMIC_POSITIONS crystal
Tl 0.087 0.782 0.869
Tl 0.218 0.087 0.305
Tl 0.250 0.750 0.500
Tl 0.282 0.587 0.869
Tl 0.413 0.282 0.695
Tl 0.587 0.718 0.305
Tl 0.718 0.413 0.131
Tl 0.750 0.250 0.500
Tl 0.782 0.913 0.695
Tl 0.913 0.218 0.131
Se 0.156 0.344 0.500
Se 0.250 0.250 0.000
Se 0.344 0.844 0.188
Se 0.656 0.156 0.812
Se 0.750 0.750 0.000
Se 0.844 0.656 0.500
```

(5)
The following is a PBE calculation of Sr4Sb5 after structural relaxation, from the Alexandria database. Values from VASP.

## Properties
energy above the lowest structure with this stoichiometry	0.00	eV per formula unit
energy	-3.683	eV per atom
ΔE_f (raw)	-0.6456	eV/atom
ρ	5.39	g/cm3

Geometry as Quantum ESPRESSO input:
```
&SYSTEM
  ibrav = 0, nat = 18, ntyp = 2
/
ATOMIC_SPECIES
Sr 87.62 Sr.upf
Sb 121.76 Sb.upf
CELL_PARAMETERS angstrom
9.973 0.000 0.000
-4.986 8.637 0.000
0.000 0.000 6.867
ATOMIC_POSITIONS crystal
Sr 0.000 0.000 0.000
Sr 0.000 0.000 0.500
Sr 0.000 0.382 0.250
Sr 0.000 0.618 0.750
Sr 0.382 0.000 0.250
Sr 0.382 0.382 0.750
Sr 0.618 0.000 0.750
Sr 0.618 0.618 0.250
Sb 0.000 0.294 0.750
Sb 0.000 0.706 0.250
Sb 0.294 0.000 0.750
Sb 0.294 0.294 0.250
Sb 0.333 0.667 0.000
Sb 0.333 0.667 0.500
Sb 0.667 0.333 0.000
Sb 0.667 0.333 0.500
Sb 0.706 0.000 0.250
Sb 0.706 0.706 0.750
```

(6)
The following is a PBE calculation of La2Tb2PmY2 after structural relaxation, from the Alexandria database. Values from VASP.

## Properties
formation enthalpy at 0 K	0.027	eV per atom
energy	-5.230	eV per atom
ρ	6.42	g/cm3

Geometry as Quantum ESPRESSO input:
```
&SYSTEM
  ibrav = 0, nat = 7, ntyp = 4
/
ATOMIC_SPECIES
La 138.91 La.upf
Tb 158.93 Tb.upf
Pm 145.00 Pm.upf
Y 88.91 Y.upf
CELL_PARAMETERS angstrom
5.740 -2.569 0.000
5.740 2.569 0.000
-1.158 0.000 8.050
ATOMIC_POSITIONS crystal
La 0.142 0.142 0.427
La 0.858 0.858 0.573
Tb 0.429 0.429 0.283
Tb 0.571 0.571 0.717
Pm 0.000 0.000 0.000
Y 0.285 0.285 0.861
Y 0.715 0.715 0.139
```

(7)
The following is a PBE calculation of Zn2Ga4Pd after structural relaxation, from the Alexandria database. Values from VASP.

## Properties
formation enthalpy at 0 K	0.034	eV per atom
energy	-2.802	eV per atom
ρ	6.80	g/cm3

Geometry as Quantum ESPRESSO input:
```
&SYSTEM
  ibrav = 0, nat = 7, ntyp = 3
/
ATOMIC_SPECIES
Zn 65.41 Zn.upf
Ga 69.72 Ga.upf
Pd 106.42 Pd.upf
CELL_PARAMETERS angstrom
-3.136 3.136 3.203
3.136 -3.136 3.203
3.136 3.136 -3.203
ATOMIC_POSITIONS crystal
Zn 0.250 0.750 0.500
Zn 0.750 0.250 0.500
Ga 0.212 0.212 0.424
Ga 0.212 0.788 0.000
Ga 0.788 0.212 0.000
Ga 0.788 0.788 0.576
Pd 0.500 0.500 0.000
```

(8)
The following is a PBE calculation of Cs3Pr3TaS8 after structural relaxation, from the Alexandria database. Values from VASP.

## Properties
energy	-5.706	eV per atom
ΔE_f (raw)	-1.5874	eV/atom
ρ	4.35	g/cm3

Geometry as Quantum ESPRESSO input:
```
&SYSTEM
  ibrav = 0, nat = 15, ntyp = 4
/
ATOMIC_SPECIES
Cs 132.91 Cs.upf
Pr 140.91 Pr.upf
Ta 180.95 Ta.upf
S 32.06 S.upf
CELL_PARAMETERS angstrom
4.094 2.364 8.274
-4.094 2.364 8.274
0.000 -4.728 8.274
ATOMIC_POSITIONS crystal
Cs 0.000 0.500 0.500
Cs 0.500 0.000 0.500
Cs 0.500 0.500 0.000
Pr 0.000 0.000 0.500
Pr 0.000 0.500 0.000
Pr 0.500 0.000 0.000
Ta 0.500 0.500 0.500
S 0.231 0.231 0.231
S 0.262 0.706 0.706
S 0.294 0.294 0.738
S 0.294 0.738 0.294
S 0.706 0.262 0.706
S 0.706 0.706 0.262
S 0.738 0.294 0.294
S 0.769 0.769 0.769
```

(9)
The following is a PBE calculation of Li3VTc after structural relaxation, from the Alexandria database. Values from VASP.

## Properties
formation enthalpy at 0 K	1.439	eV per atom
energy above the lowest structure with this stoichiometry	0.00	eV per formula unit
energy	-3.606	eV per atom
ρ	2.90	g/cm3

Geometry as Quantum ESPRESSO input:
```
&SYSTEM
  ibrav = 0, nat = 5, ntyp = 3
/
ATOMIC_SPECIES
Li 6.94 Li.upf
V 50.94 V.upf
Tc 98.00 Tc.upf
CELL_PARAMETERS angstrom
4.597 0.000 0.000
0.000 4.597 0.000
0.000 0.000 4.597
ATOMIC_POSITIONS crystal
Li 0.000 0.000 0.500
Li 0.000 0.500 0.000
Li 0.500 0.000 0.000
V 0.500 0.500 0.500
Tc 0.000 0.000 0.000
```

(10)
The following is a PBE calculation of Cd4In6Hg after structural relaxation, from the Alexandria database. Values from VASP.

## Properties
formation enthalpy at 0 K	0.084	eV per atom
energy	-1.770	eV per atom
ρ	7.12	g/cm3

Geometry as Quantum ESPRESSO input:
```
&SYSTEM
  ibrav = 0, nat = 11, ntyp = 3
/
ATOMIC_SPECIES
Cd 112.41 Cd.upf
In 114.82 In.upf
Hg 200.59 Hg.upf
CELL_PARAMETERS angstrom
0.000 3.306 14.577
3.240 0.000 14.577
3.240 3.306 0.000
ATOMIC_POSITIONS crystal
Cd 0.048 0.048 0.952
Cd 0.316 0.316 0.684
Cd 0.684 0.684 0.316
Cd 0.952 0.952 0.048
In 0.116 0.116 0.384
In 0.250 0.250 0.250
In 0.384 0.384 0.116
In 0.616 0.616 0.884
In 0.750 0.750 0.750
In 0.884 0.884 0.616
Hg 0.500 0.500 0.500
```

(11)
The following is a PBE calculation of SbAs2Pb after structural relaxation, from the Alexandria database. Values from VASP.

## Properties
energy above the lowest structure with this stoichiometry	0.00	eV per formula unit
energy	-4.249	eV per atom
ΔE_f (raw)	0.0336	eV/atom
ρ	7.23	g/cm3

Geometry as Quantum ESPRESSO input:
```
&SYSTEM
  ibrav = 0, nat = 4, ntyp = 3
/
ATOMIC_SPECIES
Sb 121.76 Sb.upf
As 74.92 As.upf
Pb 207.20 Pb.upf
CELL_PARAMETERS angstrom
4.134 0.000 0.000
0.000 4.134 0.000
0.000 0.000 6.436
ATOMIC_POSITIONS crystal
Sb 0.000 0.000 0.000
As 0.000 0.000 0.408
As 0.500 0.500 0.938
Pb 0.500 0.500 0.488
```

(12)
The following is a PBE calculation of LiLaAs3 after structural relaxation, from the Alexandria database. Values from VASP.

## Properties
formation enthalpy at 0 K	-0.447	eV per atom
energy above the lowest structure with this stoichiometry	0.00	eV per formula unit
energy	-4.605	eV per atom
ρ	5.85	g/cm3

Geometry as Quantum ESPRESSO input:
```
&SYSTEM
  ibrav = 0, nat = 5, ntyp = 3
/
ATOMIC_SPECIES
Li 6.94 Li.upf
La 138.91 La.upf
As 74.92 As.upf
CELL_PARAMETERS angstrom
4.719 0.000 0.000
0.000 4.719 0.000
0.000 0.000 4.719
ATOMIC_POSITIONS crystal
Li 0.000 0.000 0.000
La 0.500 0.500 0.500
As 0.000 0.000 0.500
As 0.000 0.500 0.000
As 0.500 0.000 0.000
```